Compound: DyNiC
Source: Alexandria
Functional: PBE
Structure: optimized geometry

Geometry as POSCAR:
```
DyNiC
1.0
3.4269 0.0000 0.0000
0.0000 4.5062 0.0015
0.0000 -2.2547 5.9006
C Dy Ni
2 2 2
direct
0.8613 0.6595 0.2472
0.8613 0.3531 0.2473
0.3613 0.6567 0.5484
0.3613 0.3559 0.9460
0.8613 0.9047 0.0435
0.8613 0.1080 0.4511
```

Output
ΔH_f (0 K) ... -0.1804 eV per atom
Relative energy among the computed polymorphs ... 0.000 eV/atom
D(E_F) ... 2.82 states/eV/cell